1.
# HoMg2Sc

HoMg2Sc after structural relaxation (PBE, Alexandria).

Results
final energy: -3.576 eV/atom
total magnetization: 0.00 μB/cell
ΔH_f (0 K): -0.052 eV/atom

abc: 5.215 5.215 5.215
angles: 60.00 60.00 60.00
Atoms (fractional coordinates):
Sc 0.250 0.250 0.250
Mg 0.500 0.500 0.500
Mg 0.000 0.000 0.000
Ho 0.750 0.750 0.750

=====

2.
# HoMgSc3

HoMgSc3 after structural relaxation (PBE, Alexandria).

Results
final energy: -4.926 eV/atom
total magnetization: 0.00 μB/cell
ΔH_f (0 K): 0.108 eV/atom

abc: 5.047 12.743 8.098
angles: 90.00 90.00 90.00
Atoms (fractional coordinates):
Ho 0.750 0.893 0.007
Ho 0.250 0.607 0.507
Ho 0.750 0.393 0.493
Ho 0.250 0.107 0.993
Mg 0.250 0.995 0.660
Mg 0.250 0.495 0.840
Mg 0.750 0.505 0.160
Mg 0.750 0.005 0.340
Sc 0.250 0.643 0.111
Sc 0.750 0.357 0.889
Sc 0.250 0.143 0.389
Sc 0.750 0.857 0.611
Sc 0.250 0.285 0.691
Sc 0.750 0.215 0.191
Sc 0.250 0.785 0.809
Sc 0.750 0.639 0.820
Sc 0.250 0.361 0.180
Sc 0.750 0.139 0.680
Sc 0.750 0.715 0.309
Sc 0.250 0.861 0.320

=====

3.
# Ho3Mg2Sc

Ho3Mg2Sc after structural relaxation (PBE, Alexandria).

Results
final energy: -3.902 eV/atom
total magnetization: 0.11 μB/cell
ΔH_f (0 K): -0.026 eV/atom

abc: 3.573 3.573 12.901
angles: 90.00 90.00 90.00
Atoms (fractional coordinates):
Ho 0.000 0.000 0.000
Ho 0.000 0.000 0.669
Ho 0.000 0.000 0.331
Mg 0.500 0.500 0.836
Mg 0.500 0.500 0.164
Sc 0.500 0.500 0.500

=====

4.
# HoMg4Sc2

HoMg4Sc2 after structural relaxation (PBE, Alexandria).

Results
final energy: -3.243 eV/atom
total magnetization: 0.00 μB/cell
ΔH_f (0 K): 0.131 eV/atom

abc: 3.361 7.305 7.305
angles: 85.83 90.00 90.00
Atoms (fractional coordinates):
Ho 0.500 0.500 0.500
Mg 0.000 0.772 0.772
Mg 0.000 0.228 0.228
Mg 0.500 0.000 0.500
Mg 0.500 0.500 0.000
Sc 0.000 0.797 0.203
Sc 0.000 0.203 0.797

=====

5.
# HoMg3Sc2

HoMg3Sc2 after structural relaxation (PBE, Alexandria).

Results
final energy: -3.717 eV/atom
total magnetization: 0.00 μB/cell
ΔH_f (0 K): -0.046 eV/atom

abc: 3.653 3.653 11.003
angles: 90.00 90.00 90.00
Atoms (fractional coordinates):
Ho 0.500 0.500 0.500
Mg 0.000 0.000 0.000
Mg 0.000 0.000 0.682
Mg 0.000 0.000 0.318
Sc 0.500 0.500 0.839
Sc 0.500 0.500 0.161

=====

6.
# Ho6MgSc12

Ho6MgSc12 after structural relaxation (PBE, Alexandria).

Results
final energy: -5.365 eV/atom
total magnetization: 0.03 μB/cell
ΔH_f (0 K): 0.164 eV/atom

abc: 8.023 8.023 8.023
angles: 93.07 93.07 93.07
Atoms (fractional coordinates):
Ho 0.717 0.881 0.262
Ho 0.738 0.283 0.119
Ho 0.119 0.738 0.283
Ho 0.283 0.119 0.738
Ho 0.262 0.717 0.881
Ho 0.881 0.262 0.717
Mg 0.000 0.000 0.000
Sc 0.786 0.533 0.469
Sc 0.469 0.786 0.533
Sc 0.533 0.469 0.786
Sc 0.214 0.467 0.531
Sc 0.531 0.214 0.467
Sc 0.467 0.531 0.214
Sc 0.059 0.142 0.370
Sc 0.858 0.630 0.941
Sc 0.630 0.941 0.858
Sc 0.941 0.858 0.630
Sc 0.142 0.370 0.059
Sc 0.370 0.059 0.142

=====

7.
# Ho4Mg5Sc

Ho4Mg5Sc after structural relaxation (PBE, Alexandria).

Results
final energy: -3.324 eV/atom
total magnetization: 0.00 μB/cell
ΔH_f (0 K): -0.063 eV/atom

abc: 3.732 3.732 18.806
angles: 90.00 90.00 90.00
Atoms (fractional coordinates):
Ho 0.000 0.000 0.194
Ho 0.000 0.000 0.398
Ho 0.000 0.000 0.602
Ho 0.000 0.000 0.806
Mg 0.500 0.500 0.090
Mg 0.500 0.500 0.296
Mg 0.500 0.500 0.500
Mg 0.500 0.500 0.704
Mg 0.500 0.500 0.910
Sc 0.000 0.000 0.000

=====

8.
# HoMgSc3

HoMgSc3 after structural relaxation (PBE, Alexandria).

Results
final energy: -4.974 eV/atom
total magnetization: 0.00 μB/cell
ΔH_f (0 K): 0.060 eV/atom

abc: 5.321 6.573 7.954
angles: 90.00 109.54 90.00
Atoms (fractional coordinates):
Ho 0.884 0.750 0.769
Ho 0.116 0.250 0.231
Mg 0.505 0.750 0.010
Mg 0.495 0.250 0.990
Sc 0.690 0.999 0.381
Sc 0.310 0.001 0.619
Sc 0.310 0.499 0.619
Sc 0.690 0.501 0.381
Sc 0.128 0.750 0.255
Sc 0.872 0.250 0.745

=====

9.
# Ho2MgSc2

Ho2MgSc2 after structural relaxation (PBE, Alexandria).

Results
final energy: -4.372 eV/atom
total magnetization: 0.01 μB/cell
ΔH_f (0 K): 0.311 eV/atom

abc: 4.046 4.046 9.284
angles: 102.59 102.59 90.00
Atoms (fractional coordinates):
Ho 0.404 0.404 0.808
Ho 0.596 0.596 0.192
Mg 0.000 0.000 0.000
Sc 0.750 0.250 0.500
Sc 0.250 0.750 0.500

=====

10.
# HoMgSc4Se8

HoMgSc4Se8 after structural relaxation (PBE, Alexandria).

Results
final energy: -5.850 eV/atom
total magnetization: 0.00 μB/cell
formation energy (no corrections): -2173 kJ/mol of formula units

abc: 7.990 7.990 8.068
angles: 60.32 60.32 60.00
Atoms (fractional coordinates):
Ho 0.001 0.001 0.996
Mg 0.374 0.374 0.878
Sc 0.627 0.627 0.118
Sc 0.003 0.492 0.503
Sc 0.492 0.003 0.503
Sc 0.003 0.003 0.503
Se 0.249 0.768 0.734
Se 0.768 0.249 0.734
Se 0.249 0.249 0.734
Se 0.243 0.243 0.271
Se 0.750 0.232 0.268
Se 0.232 0.750 0.268
Se 0.750 0.750 0.268
Se 0.759 0.759 0.724

=====

11.
# Ho3MgSc3Se8

Ho3MgSc3Se8 after structural relaxation (PBE, Alexandria).

Results
final energy: -5.820 eV/atom
total magnetization: 0.00 μB/cell
formation energy (no corrections): -2421 kJ/mol of formula units

abc: 7.886 7.885 7.921
angles: 119.85 90.00 120.00
Atoms (fractional coordinates):
Ho 0.000 0.000 0.000
Ho 0.000 0.500 0.000
Ho 0.500 0.500 0.000
Mg 0.000 0.000 0.500
Sc 0.500 0.000 0.500
Sc 0.500 0.500 0.500
Sc 0.000 0.500 0.500
Se 0.254 0.509 0.263
Se 0.746 0.491 0.737
Se 0.753 0.505 0.261
Se 0.247 0.495 0.739
Se 0.753 0.008 0.261
Se 0.247 0.992 0.739
Se 0.256 0.008 0.261
Se 0.744 0.992 0.739

=====

12.
# HoMgScSe4

HoMgScSe4 after structural relaxation (PBE, Alexandria).

Results
final energy: -5.411 eV/atom
total magnetization: 0.00 μB/cell
formation energy (no corrections): -1104 kJ/mol of formula units

abc: 8.044 8.093 8.093
angles: 60.38 60.20 60.20
Atoms (fractional coordinates):
Ho 0.000 0.000 0.000
Ho 0.000 0.500 0.500
Mg 0.626 0.624 0.124
Mg 0.374 0.376 0.876
Sc 0.500 0.000 0.500
Sc 0.000 0.000 0.500
Se 0.751 0.768 0.729
Se 0.249 0.771 0.732
Se 0.751 0.229 0.268
Se 0.249 0.232 0.271
Se 0.233 0.762 0.262
Se 0.744 0.762 0.262
Se 0.256 0.238 0.738
Se 0.767 0.238 0.738

=====

Copy entry 2 word for word.
# HoMgSc3

HoMgSc3 after structural relaxation (PBE, Alexandria).

Results
final energy: -4.926 eV/atom
total magnetization: 0.00 μB/cell
ΔH_f (0 K): 0.108 eV/atom

abc: 5.047 12.743 8.098
angles: 90.00 90.00 90.00
Atoms (fractional coordinates):
Ho 0.750 0.893 0.007
Ho 0.250 0.607 0.507
Ho 0.750 0.393 0.493
Ho 0.250 0.107 0.993
Mg 0.250 0.995 0.660
Mg 0.250 0.495 0.840
Mg 0.750 0.505 0.160
Mg 0.750 0.005 0.340
Sc 0.250 0.643 0.111
Sc 0.750 0.357 0.889
Sc 0.250 0.143 0.389
Sc 0.750 0.857 0.611
Sc 0.250 0.285 0.691
Sc 0.750 0.215 0.191
Sc 0.250 0.785 0.809
Sc 0.750 0.639 0.820
Sc 0.250 0.361 0.180
Sc 0.750 0.139 0.680
Sc 0.750 0.715 0.309
Sc 0.250 0.861 0.320

=====

> Which value of total magnetization does entry 11 give?

0.00 μB/cell

=====

> Which formula does entry 11 have?

Ho3MgSc3Se8